DFT (PBEsol) results for a relaxed structure of Li3Te.

Results
energy relative to the elements, uncorrected = -725 meV per atom
distance to the lowest polymorph of the same formula = 0 meV per atom
E_tot = -3.08 eV per atom
theoretical density = 3.5 Mg/m³

POSCAR file:
```
Li3Te
1.0
-0.515 -0.427 -4.084
-3.965 -1.018 0.607
-1.067 3.988 -0.283
Li Te
3 1
Direct
0.500 0.500 0.000
0.000 0.500 0.500
0.500 0.000 0.500
0.000 0.000 0.000
```